one:
This record from the Alexandria database describes OsRuW2 after structural relaxation. The functional is PBE.

The total magnetization comes out at 0.0 μB/f.u.

It has space group P4/mmm (No. 123), with a = 3.937 Å, b = 3.937 Å, c = 3.910 Å, α = 90.00°, β = 90.00° and γ = 90.00°. The asymmetric unit holds Os at (0.000, 0.000, 0.000), Ru at (0.500, 0.500, 0.000) and W at (0.000, 0.500, 0.500).

two:
This record from the Alexandria database describes OsRuW2 after structural relaxation. The functional is PBE.

The total magnetization comes out at 0.0 μB/f.u.

It has space group Pmm2 (No. 25), with a = 2.803 Å, b = 3.867 Å, c = 5.630 Å, α = 90.00°, β = 90.00° and γ = 90.00°. The asymmetric unit holds Os at (0.000, 0.000, 0.000), Ru at (0.500, 0.500, 0.259), W at (0.000, 0.000, 0.489) and W at (0.500, 0.500, 0.769).

three:
This record from the Alexandria database describes OsRuW2 after structural relaxation. The functional is PBE.

The total magnetization comes out at 0.0 μB/f.u.

It has space group I-42d (No. 122), with a = 5.641 Å, b = 5.641 Å, c = 11.407 Å, α = 90.00°, β = 90.00° and γ = 90.00°. The asymmetric unit holds Os at (0.000, 0.000, 0.000), Ru at (0.000, 0.000, 0.500) and W at (0.247, 0.250, 0.625).

Which of them is least stable? Easy: three.

one:
This record from the Alexandria database describes OsRu4W after structural relaxation. The functional is PBE.

The total magnetization comes out at 0.0 μB/f.u.

It has space group Amm2 (No. 38), with a = 4.362 Å, b = 2.758 Å, c = 14.275 Å, α = 90.00°, β = 90.00° and γ = 90.00°. The asymmetric unit holds Os at (0.000, 0.000, 0.000), Ru at (0.000, 0.000, 0.334), Ru at (0.000, 0.000, 0.666), Ru at (0.500, 0.000, 0.552), Ru at (0.500, 0.000, 0.889) and W at (0.500, 0.000, 0.223).

two:
This record from the Alexandria database describes OsRu4W after structural relaxation. The functional is PBE.

The total magnetization comes out at 0.0 μB/f.u.

It has space group F-43m (No. 216), with a = 7.095 Å, b = 7.095 Å, c = 7.095 Å, α = 90.00°, β = 90.00° and γ = 90.00°. The asymmetric unit holds Os at (0.000, 0.000, 0.000), Ru at (0.126, 0.126, 0.374) and W at (0.250, 0.250, 0.750).

Which of them is least stable? Easy: two.

one:
This record from the Alexandria database describes YOs2Ru after structural relaxation. The functional is PBE.

The total magnetization comes out at 0.0 μB/f.u.

It has space group Cm (No. 8), with a = 9.453 Å, b = 2.921 Å, c = 5.128 Å, α = 90.00°, β = 103.43° and γ = 90.00°. The asymmetric unit holds Y at (0.000, 0.000, 0.000), Os at (0.001, 0.500, 0.487), Os at (0.265, 0.500, 0.342) and Ru at (0.233, 0.000, 0.738).

two:
This record from the Alexandria database describes YOs2Ru after structural relaxation. The functional is PBE.

The total magnetization comes out at 1.6 μB/f.u.

It has space group F-43m (No. 216), with a = 6.455 Å, b = 6.455 Å, c = 6.455 Å, α = 90.00°, β = 90.00° and γ = 90.00°. The asymmetric unit holds Y at (0.000, 0.000, 0.000), Os at (0.000, 0.000, 0.500), Os at (0.250, 0.250, 0.750) and Ru at (0.250, 0.250, 0.250).

three:
This record from the Alexandria database describes YOs2Ru after structural relaxation. The functional is PBE.

The total magnetization comes out at 1.4 μB/f.u.

It has space group P4/mmm (No. 123), with a = 4.643 Å, b = 4.643 Å, c = 3.119 Å, α = 90.00°, β = 90.00° and γ = 90.00°. The asymmetric unit holds Y at (0.000, 0.000, 0.000), Os at (0.000, 0.500, 0.500) and Ru at (0.500, 0.500, 0.000).

Which of them is least stable? Easy: three.